1.
VASP calculation (meta-GGA SCAN) on a PBEsol-optimized structure of TlMoRh2.

Electronic total energy (eV/atom): -43.46
Formation energy (eV per atom): 0.24

Geometry as POSCAR:
```
TlMoRh2
1.0
2.830 0.000 0.000
-1.415 4.507 -0.012
0.000 -0.755 4.943
Mo Rh Tl
1 2 1
Cartesian
0.000 -0.377 2.472
1.415 1.671 3.584
0.000 2.082 1.347
1.415 0.000 0.000
```

=====

2.
VASP calculation (meta-GGA SCAN) on a PBEsol-optimized structure of K2Hg3S4.

Electronic total energy (eV/atom): -29.51
Formation energy without anion corrections (meV per atom): -653.6

Geometry as POSCAR:
```
K2Hg3S4
1.0
6.643 0.000 0.000
0.000 10.390 0.000
0.000 0.000 13.451
K Hg S
8 12 16
Cartesian
1.567 6.422 6.687
5.076 3.968 6.764
1.755 9.163 13.412
1.567 3.968 0.039
4.888 1.227 0.039
5.076 6.422 13.412
1.755 1.227 6.764
4.888 9.163 6.687
0.628 0.000 3.363
6.015 0.000 10.088
2.694 5.195 10.088
3.949 5.195 3.363
0.623 6.857 3.227
6.020 3.533 10.224
2.698 8.728 9.953
0.623 3.533 3.499
3.945 1.662 3.499
6.020 6.857 9.953
2.698 1.662 10.224
3.945 8.728 3.227
2.223 8.993 4.850
4.420 1.396 8.601
1.099 6.591 11.575
2.223 1.396 1.876
5.544 3.799 1.876
4.420 8.993 11.575
1.099 3.799 8.601
5.544 6.591 4.850
2.480 6.568 1.757
4.163 3.822 11.694
0.842 9.017 8.483
2.480 3.822 4.969
5.801 1.373 4.969
4.163 6.568 8.483
0.842 1.373 11.694
5.801 9.017 1.757
```

=====

3.
VASP calculation (meta-GGA SCAN) on a PBEsol-optimized structure of KMoRh.

Electronic total energy (eV/atom): -24.95
Formation energy (eV per atom): 0.71

Geometry as POSCAR:
```
KMoRh
1.0
2.869 0.000 0.000
0.000 2.869 0.000
-1.434 -1.434 7.379
K Mo Rh
1 1 1
Cartesian
1.434 1.434 7.164
1.434 1.434 3.019
0.000 0.000 4.576
```

=====

4.
VASP calculation (meta-GGA SCAN) on a PBEsol-optimized structure of Ca2ZnNi.

Electronic total energy (eV/atom): -12.45
Formation energy (eV per atom): -0.19

Geometry as POSCAR:
```
Ca2ZnNi
1.0
4.157 0.000 0.000
0.000 4.165 0.000
0.000 -2.083 5.310
Ni Zn Ca
1 1 2
Cartesian
0.000 2.083 1.922
2.078 2.083 0.738
0.000 2.083 5.135
2.078 0.000 2.854
```

=====

5.
VASP calculation (meta-GGA SCAN) on a PBEsol-optimized structure of AlFePO5.

Electronic total energy (eV/atom): -10.96
Formation energy without anion corrections (meV per atom): -2535.0

Geometry as POSCAR:
```
AlFePO5
1.0
5.471 -0.026 0.000
-1.043 7.074 0.000
0.000 0.000 10.392
Al Fe P O
4 4 4 20
Cartesian
2.058 6.066 1.818
5.107 0.969 7.014
2.371 0.982 8.574
-0.678 6.079 3.378
2.753 3.641 3.734
4.411 3.394 8.930
1.676 3.407 6.658
0.017 3.654 1.462
0.014 1.974 4.170
1.679 5.087 9.366
4.415 5.074 6.222
2.750 1.961 1.026
3.198 5.448 2.985
3.966 1.588 8.181
1.231 1.601 7.407
0.462 5.461 2.211
0.433 0.760 3.327
1.260 6.301 8.524
3.996 6.288 7.065
3.169 0.747 1.869
2.510 5.555 0.188
4.654 1.481 5.384
1.919 1.494 10.204
-0.226 5.568 5.008
4.629 2.906 3.307
2.535 4.129 8.503
-0.200 4.142 7.085
1.893 2.919 1.889
3.155 4.332 5.703
4.009 2.703 0.507
1.274 2.716 4.689
0.419 4.345 9.885
```

=====

6.
VASP calculation (meta-GGA SCAN) on a PBEsol-optimized structure of Cr3CdIr.

Electronic total energy (eV/atom): -30.53
Formation energy (eV per atom): 0.81

Geometry as POSCAR:
```
Cr3CdIr
1.0
4.677 0.000 0.000
0.000 4.677 0.000
0.000 0.000 4.677
Cr Ir Cd
3 1 1
Cartesian
0.000 2.338 0.000
0.000 0.000 2.338
2.338 0.000 0.000
0.000 0.000 0.000
2.338 2.338 2.338
```

=====

7.
VASP calculation (meta-GGA SCAN) on a PBEsol-optimized structure of BaZnTc3.

Electronic total energy (eV/atom): -30.11
Formation energy (eV per atom): 1.54

Geometry as POSCAR:
```
BaZnTc3
1.0
4.693 0.000 0.000
0.000 4.693 0.000
0.000 0.000 4.693
Zn Ba Tc
1 1 3
Cartesian
0.000 0.000 0.000
2.346 2.346 2.346
0.000 2.346 0.000
0.000 0.000 2.346
2.346 0.000 0.000
```

=====

8.
VASP calculation (meta-GGA SCAN) on a PBEsol-optimized structure of Be2Rh.

Electronic total energy (eV/atom): -14.79
Formation energy (eV per atom): -0.63

Geometry as POSCAR:
```
Be2Rh
1.0
3.386 0.000 0.000
0.000 3.386 0.000
-1.693 -1.693 10.390
Be Rh
8 4
Cartesian
0.000 1.693 10.367
0.000 1.693 0.023
0.000 0.000 5.172
1.693 1.693 5.218
1.693 0.000 3.354
1.693 0.000 7.036
0.000 0.000 8.549
1.693 1.693 1.841
0.000 1.693 6.672
0.000 1.693 3.718
0.000 0.000 1.477
1.693 1.693 8.913
```

=====

9.
VASP calculation (meta-GGA SCAN) on a PBEsol-optimized structure of SrPrInO4.

Electronic total energy (eV/atom): -20.50
Formation energy without anion corrections (meV per atom): -2801.2

Geometry as POSCAR:
```
SrPrInO4
1.0
5.828 0.000 0.000
0.000 5.945 0.000
0.000 0.000 12.369
Sr Pr In O
4 4 4 16
Cartesian
5.793 3.230 8.015
2.949 2.714 1.830
2.879 5.687 4.354
0.035 0.258 10.539
0.081 2.605 4.359
2.832 3.340 10.544
2.995 0.368 8.010
5.746 5.577 1.825
5.805 2.930 12.361
2.936 3.015 6.176
2.891 0.043 0.009
0.023 5.902 6.193
1.267 1.697 6.546
1.647 4.248 0.361
4.181 1.276 5.824
4.561 4.669 12.008
4.713 4.144 5.708
4.029 1.801 11.892
1.799 4.773 6.662
1.115 1.171 0.477
0.621 2.739 10.285
2.293 3.206 4.101
3.535 0.233 2.084
5.207 5.711 8.269
5.375 3.229 2.191
3.366 2.715 8.375
2.462 5.688 10.179
0.452 0.257 3.994
```

=====

10.
VASP calculation (meta-GGA SCAN) on a PBEsol-optimized structure of Na3MgC2ClO6.

Electronic total energy (eV/atom): -8.45
Formation energy without anion corrections (meV per atom): -2047.8

Geometry as POSCAR:
```
Na3MgC2ClO6
1.0
10.015 0.000 0.000
5.007 8.673 0.000
5.007 2.891 8.177
Na Mg C Cl O
12 4 8 4 24
Cartesian
2.649 1.529 3.970
5.007 0.168 0.119
7.366 1.529 3.970
12.664 4.253 6.251
5.007 5.614 3.970
7.366 4.253 0.119
12.664 7.311 1.926
10.015 2.723 1.926
2.649 4.253 0.119
7.366 7.311 1.926
7.366 4.253 6.251
10.015 8.841 6.251
10.015 2.891 5.111
7.511 7.228 5.111
12.518 7.228 5.111
10.015 5.782 1.022
8.157 4.709 3.330
11.873 4.709 3.330
10.015 5.782 6.364
13.164 9.746 6.891
15.022 6.528 6.891
15.022 8.673 3.857
10.015 7.927 3.330
16.880 9.746 6.891
5.007 5.782 1.022
2.504 1.446 1.022
7.511 1.446 1.022
5.007 2.891 5.111
11.131 6.427 6.379
8.517 3.628 3.933
13.905 8.028 3.842
11.513 4.917 2.109
12.407 8.893 6.288
13.524 10.827 6.288
16.139 8.028 3.842
13.524 9.538 8.112
11.513 3.628 3.933
15.022 6.943 8.112
15.022 9.962 3.842
16.520 10.827 6.288
16.520 9.538 8.112
12.630 5.562 3.933
10.015 4.493 6.379
17.637 8.893 6.288
16.139 6.298 6.288
10.015 7.512 2.109
11.131 8.157 3.933
8.517 4.917 2.109
7.400 5.562 3.933
13.905 6.298 6.288
8.898 6.427 6.379
8.898 8.157 3.933
```

=====

Question: What is the electronic total energy in the ninth record?
Answer: -20.50 eV/atom